A plane-wave DFT calculation with PBE-GGA was carried out for crystalline La2SbW2 at its relaxed geometry.

- Total DFT energy (no corrections): -7.84 eV per atom
- Density: 9.4 g cm⁻³
- V: 136 Å³/cell

Geometry as POSCAR:
```
La2SbW2
1.0
-1.8648 1.8648 9.7587
1.8648 -1.8648 9.7587
1.8648 1.8648 -9.7587
La Sb W
2 1 2
direct
0.6120 0.6120 0.0000
0.3880 0.3880 0.0000
0.0000 0.0000 0.0000
0.2500 0.7500 0.5000
0.7500 0.2500 0.5000
```


A plane-wave DFT calculation with PBE-GGA was carried out for crystalline LaYSb3 at its relaxed geometry.

- Total DFT energy (no corrections): -4.97 eV per atom
- Density: 5.4 g cm⁻³
- V: 183 Å³/cell

Geometry as POSCAR:
```
LaYSb3
1.0
5.6791 0.0000 0.0000
0.0000 5.6791 0.0000
0.0000 0.0000 5.6791
Y Sb La
1 3 1
direct
0.0000 0.0000 0.0000
0.0000 0.5000 0.0000
0.0000 0.0000 0.5000
0.5000 0.0000 0.0000
0.5000 0.5000 0.5000
```


| no. | ΔE_f (raw) (meV/atom) |
| --- | --- |
| 1 | 136 |
| 2 | -221 |